[1]
DFT (PBE) results for a geometry-optimized CaNb3Cr structure.

Lattice parameters (Å, degrees): 4.664 4.664 4.664 90.00 90.00 90.00
Fractional coordinates of all 5 atoms:
Cr1 0.500 0.500 0.500
Nb1 0.000 0.500 0.000
Nb2 0.000 0.000 0.500
Nb3 0.500 0.000 0.000
Ca1 0.000 0.000 0.000

Results
V: 101 Å³ per cell
N(E_F): 16.9 states/eV/f.u.
total magnetic moment: 0.007 μB/atom
formation enthalpy at 0 K: 256.0 kJ/mol of atoms
distance to the lowest polymorph of the same formula: 1918.4 meV per atom

[2]
DFT (PBE) results for a geometry-optimized CaNbCr2 structure.

Lattice parameters (Å, degrees): 4.702 4.702 4.702 60.00 60.00 60.00
Last column: magnetic moment on the atom in μB.
Fractional coordinates of all 4 atoms:
Cr1 0.250 0.250 0.250  2.78
Cr2 0.750 0.750 0.750  2.78
Nb1 0.500 0.500 0.500  -1.23
Ca1 0.000 0.000 0.000  0.06

Results
V: 74 Å³ per cell
N(E_F): 1.6 states/eV/f.u.
total magnetic moment: 1.210 μB/atom
formation enthalpy at 0 K: 64.9 kJ/mol of atoms
distance to the lowest polymorph of the same formula: 0.0 meV per atom